Density functional theory data (GGA-PBE) for a relaxed AcSmAsPd crystal.

The structure belongs to space group F-43m (No. 216); the cell edges are 7.4733, 7.4733 and 7.4733 Å and the angles 90.00°, 90.00° and 90.00°. The distinct sites, in fractional coordinates, are Ac at (0.0000, 0.0000, 0.0000), Sm at (0.0000, 0.0000, 0.5000), As at (0.2500, 0.2500, 0.7500) and Pd at (0.2500, 0.2500, 0.2500).

For the final energy, the calculation gives -5.4958 eV/atom. The calculation puts the formation energy at -0.828 eV/atom. Its mass density is 8.89 g/cm3.



Density functional theory data (GGA-PBE) for a relaxed Ac2SnAsPd6 crystal.

The structure belongs to space group P-1 (No. 2); the cell edges are 5.6500, 6.7280 and 7.0730 Å and the angles 77.35°, 66.49° and 65.29°. The distinct sites, in fractional coordinates, are Ac at (0.2479, 0.2805, 0.2258), Sn at (0.0000, 0.0000, 0.0000), As at (0.5000, 0.5000, 0.5000), Pd at (0.2501, 0.9003, 0.5973), Pd at (0.2516, 0.2600, 0.7450) and Pd at (0.2551, 0.7401, 0.2556).

For the final energy, the calculation gives -5.5370 eV/atom. The calculation puts the formation energy at -0.734 eV/atom. Its mass density is 9.55 g/cm3.



Density functional theory data (GGA-PBE) for a relaxed SrAc2As3Pd4 crystal.

The structure belongs to space group P-4m2 (No. 115); the cell edges are 4.4469, 4.4469 and 11.6295 Å and the angles 90.00°, 90.00° and 90.00°. The distinct sites, in fractional coordinates, are Sr at (0.0000, 0.0000, 0.0000), Ac at (0.0000, 0.5000, 0.7126), As at (0.0000, 0.5000, 0.3786), As at (0.5000, 0.5000, 0.0000), Pd at (0.0000, 0.0000, 0.5000), Pd at (0.0000, 0.5000, 0.1650) and Pd at (0.5000, 0.5000, 0.5000).

For the final energy, the calculation gives -5.3411 eV/atom. The calculation puts the formation energy at -0.879 eV/atom. Its mass density is 8.61 g/cm3.



- Which of these has the lowest final energy?
  Ac2SnAsPd6